[1]
The following is a PBE-GGA calculation of LaZn3Ni2 after structural relaxation, from Alexandria.

Unit cell a=6.3015 b=6.3015 c=18.3688 alpha=90.00 beta=90.00 gamma=120.00
With the nearest neighbours (Å) after each atom.
Space group R-3m (No. 166, hexagonal axes)
Unique sites:
La (0.0000, 0.0000, 0.2285) (multiplicity 6)  3 Ni 2.65
Zn (0.0297, 0.5149, 0.2371) (multiplicity 18)  3 Ni 2.48-2.65
Ni (0.0000, 0.0000, 0.0000) (multiplicity 3)  6 Zn 2.65
Ni (0.0000, 0.5000, 0.0000) (multiplicity 9)  4 Zn 2.48, 2 La 2.65

Results
VASP energy	-123.220	eV/cell
DOS at the Fermi energy	24.72	states/eV/cell
size of the total moment	0.00	μB per formula unit
crystal system	trigonal



[2]
The following is a PBE-GGA calculation of Sb2TeAuCl after structural relaxation, from Alexandria.

Unit cell a=5.4829 b=5.4829 c=5.4021 alpha=90.00 beta=90.00 gamma=90.00
With the nearest neighbours (Å) after each atom.
Space group P4/mmm (No. 123)
Unique sites:
Sb (0.0000, 0.5000, 0.0000) (multiplicity 2)  2 Au 2.74
Te (0.0000, 0.0000, 0.5000) (multiplicity 1)  2 Au 2.70
Au (0.0000, 0.0000, 0.0000) (multiplicity 1)  2 Te 2.70, 4 Sb 2.74
Cl (0.5000, 0.5000, 0.5000) (multiplicity 1)  8 Sb 3.85, 4 Te 3.88

Results
DOS at the Fermi energy	6.92	states/eV/cell
size of the total moment	0.00	μB per formula unit
crystal system	tetragonal
formation energy from raw total energies	0.488	eV per atom
E above lowest polymorph	0.0000	eV per atom